(1)
Computed, not measured: a relaxed Ba6N2OF3 crystal at the PBE-GGA level of DFT.

As for the formation energy from raw total energies: -2011 meV/atom.

It has space group C2/m (No. 12), with a = 6.9277 Å, b = 12.0113 Å, c = 7.0830 Å, α = 90.00°, β = 109.06° and γ = 90.00°. The inequivalent atoms are Ba at (0.2400, 0.0000, 0.2283), Ba at (0.2435, 0.3324, 0.2279), N at (0.0000, 0.1658, 0.0000), O at (0.0000, 0.5000, 0.0000), F at (0.0000, 0.0000, 0.5000) and F at (0.0000, 0.3267, 0.5000).

---

(2)
Computed, not measured: a relaxed BaNO2F crystal at the PBE-GGA level of DFT.

As for the formation energy from raw total energies: -558 meV/atom.

It has space group P4/mmm (No. 123), with a = 3.7095 Å, b = 3.7095 Å, c = 4.6619 Å, α = 90.00°, β = 90.00° and γ = 90.00°. The inequivalent atoms are Ba at (0.0000, 0.0000, 0.0000), N at (0.5000, 0.5000, 0.5000), O at (0.0000, 0.5000, 0.5000) and F at (0.5000, 0.5000, 0.0000).

---

(3)
Computed, not measured: a relaxed BaOsN2F crystal at the PBE-GGA level of DFT.

The value obtained for the energy above the lowest structure with this stoichiometry is 2.782 eV/atom. As for the formation energy from raw total energies: 2008 meV/atom.

It has space group P4/mmm (No. 123), with a = 4.7154 Å, b = 4.7154 Å, c = 4.7455 Å, α = 90.00°, β = 90.00° and γ = 90.00°. The inequivalent atoms are Ba at (0.0000, 0.0000, 0.0000), Os at (0.5000, 0.5000, 0.5000), N at (0.0000, 0.5000, 0.0000) and F at (0.0000, 0.0000, 0.5000).

---

(4)
Computed, not measured: a relaxed BaOsNF2 crystal at the PBE-GGA level of DFT.

The value obtained for the energy above the lowest structure with this stoichiometry is 0.000 eV/atom. As for the formation energy from raw total energies: -1249 meV/atom.

It has space group P4/mmm (No. 123), with a = 4.6103 Å, b = 4.6103 Å, c = 3.8087 Å, α = 90.00°, β = 90.00° and γ = 90.00°. The inequivalent atoms are Ba at (0.0000, 0.0000, 0.0000), Os at (0.5000, 0.5000, 0.5000), N at (0.5000, 0.5000, 0.0000) and F at (0.0000, 0.5000, 0.5000).

---

no.,uncorrected energy (eV per atom)
1,-5.241
2,-4.965
3,-4.327
4,-6.293